Entry 1:
GGA-PBE Ac6LaPr3Nd2, optimized geometry; crystal system = monoclinic; DFT formation energy = 0.02 eV/atom
1.0
3.3574 -5.8233 0.0000
3.3574 5.8233 0.0000
-2.2496 0.0000 12.3771
Ac La Pr Nd
6 1 3 2
Direct
0.0835 0.4169 0.7500
0.2499 0.2499 0.2500
0.4169 0.0835 0.7500
0.5831 0.9165 0.2500
0.7501 0.7501 0.7500
0.9165 0.5831 0.2500
0.0000 0.0000 0.5000
0.1667 0.8333 0.0000
0.5000 0.5000 0.0000
0.8333 0.1667 0.0000
0.3333 0.6667 0.5000
0.6667 0.3333 0.5000

Entry 2:
GGA-PBE Tb2Pr2Dy7, optimized geometry; crystal system = monoclinic; energy above the most stable polymorph in this dataset = 0 meV per atom; DFT formation energy = 0.15 eV/atom
1.0
5.6309 -5.7920 0.0000
5.6309 5.7920 0.0000
-2.4615 0.0000 5.5894
Tb Pr Dy
2 2 7
Direct
0.2131 0.7869 0.0000
0.7869 0.2131 0.0000
0.4071 0.4071 0.6925
0.5929 0.5929 0.3075
0.0000 0.0000 0.5000
0.0639 0.5877 0.3214
0.2287 0.2287 0.0775
0.4123 0.9361 0.6786
0.5877 0.0639 0.3214
0.7713 0.7713 0.9225
0.9361 0.4123 0.6786

Entry 3:
GGA-PBE MgNi3H, optimized geometry; crystal system = monoclinic; energy above the most stable polymorph in this dataset = 156 meV per atom
1.0
6.7203 -1.7477 0.0000
6.7203 1.7477 0.0000
-0.9750 0.0000 4.9286
Mg Ni H
2 6 2
Direct
0.0778 0.0778 0.2871
0.9222 0.9222 0.7129
0.1183 0.1183 0.8039
0.2939 0.2939 0.3972
0.3027 0.3027 0.9019
0.6973 0.6973 0.0981
0.7061 0.7061 0.6028
0.8817 0.8817 0.1961
0.3960 0.3960 0.2055
0.6040 0.6040 0.7945